PBE Mg2ZrTa, optimized geometry; E_form = 0.19 eV per atom; space-group type = Pmm2, No. 25; relative energy among the computed polymorphs = 0.0927 eV/atom; M_tot = 0.00 μB per cell
1.0
3.074 0.000 0.000
0.000 4.247 0.000
0.000 0.000 6.454
Mg Zr Ta
2 1 1
direct
0.000 0.000 0.000
0.500 0.500 0.247
0.500 0.500 0.721
0.000 0.000 0.504

PBE ZrBe4Ni, optimized geometry; E_form = -0.13 eV per atom; space-group type = F-43m, No. 216; relative energy among the computed polymorphs = 0.0000 eV/atom; M_tot = 1.97 μB per cell
1.0
0.000 3.202 3.202
3.202 0.000 3.202
3.202 3.202 0.000
Zr Be Ni
1 4 1
direct
0.000 0.000 0.000
0.375 0.375 0.375
0.375 0.375 0.876
0.375 0.876 0.375
0.876 0.375 0.375
0.750 0.750 0.750

PBE Sr2HgIr, optimized geometry; E_form = -0.27 eV per atom; space-group type = Amm2, No. 38; M_tot = 0.00 μB per cell
1.0
4.623 0.000 0.000
0.000 2.230 5.720
0.000 -2.230 5.720
Sr Hg Ir
2 1 1
direct
0.000 0.000 0.000
0.500 0.282 0.282
0.500 0.572 0.572
0.000 0.710 0.710

PBE Zn2CrRe, optimized geometry; E_form = 0.24 eV per atom; space-group type = Imm2, No. 44; relative energy among the computed polymorphs = 0.1258 eV/atom; M_tot = 0.31 μB per cell
1.0
-1.583 2.157 4.040
1.583 -2.157 4.040
1.583 2.157 -4.040
Zn Cr Re
2 1 1
direct
0.000 0.000 0.000
0.752 0.252 0.500
0.261 0.761 0.500
0.484 0.484 0.000

PBE Ac2TbPmPr4, optimized geometry; E_form = 0.04 eV per atom; space-group type = P2/m, No. 10; M_tot = 0.00 μB per cell
1.0
6.533 0.000 0.000
0.000 3.779 0.000
-2.222 0.000 12.201
Ac Tb Pm Pr
2 1 1 4
direct
0.000 0.000 0.000
0.500 0.500 0.000
0.000 0.500 0.500
0.500 0.000 0.500
0.246 0.000 0.741
0.253 0.500 0.258
0.747 0.500 0.742
0.754 0.000 0.259

PBE Pa4RuSeS2, optimized geometry; space-group type = P2/m, No. 10; final energy = -8.539 eV per atom; M_tot = 0.00 μB per cell
1.0
6.934 0.000 0.000
0.000 3.809 0.000
-2.143 0.000 6.726
Pa Ru Se S
4 1 1 2
direct
0.238 0.000 0.235
0.251 0.500 0.765
0.749 0.500 0.235
0.762 0.000 0.765
0.500 0.000 0.000
0.500 0.500 0.500
0.000 0.000 0.500
0.000 0.500 0.000

PBE MgCoBr, optimized geometry; space-group type = P4/nmm, No. 129; relative energy among the computed polymorphs = 0.8540 eV/atom; M_tot = 2.99 μB per cell
1.0
4.727 0.000 0.000
0.000 4.727 0.000
0.000 0.000 5.541
Mg Co Br
2 2 2
direct
0.250 0.250 0.124
0.750 0.750 0.876
0.250 0.250 0.663
0.750 0.750 0.337
0.250 0.750 0.500
0.750 0.250 0.500

PBE Li2TiNb3N6, optimized geometry; space-group type = C2/m, No. 12; final energy = -8.714 eV per atom; M_tot = 0.00 μB per cell
1.0
6.668 -1.537 0.000
6.668 1.537 0.000
-1.428 0.000 6.003
Li Ti Nb N
2 1 3 6
direct
0.171 0.171 0.345
0.829 0.829 0.655
0.500 0.500 0.000
0.172 0.172 0.833
0.500 0.500 0.500
0.828 0.828 0.167
0.000 0.000 0.245
0.000 0.000 0.755
0.337 0.337 0.404
0.338 0.338 0.922
0.662 0.662 0.078
0.663 0.663 0.596

PBE MgIn2Cl5, optimized geometry; space-group type = Pbcn, No. 60; relative energy among the computed polymorphs = 0.0000 eV/atom; M_tot = 0.00 μB per cell
1.0
9.625 0.000 0.000
0.000 13.971 0.000
0.000 0.000 6.641
Mg In Cl
4 8 20
direct
0.000 0.069 0.250
0.000 0.931 0.750
0.500 0.431 0.750
0.500 0.569 0.250
0.110 0.351 0.582
0.110 0.649 0.082
0.390 0.149 0.082
0.390 0.851 0.582
0.610 0.149 0.418
0.610 0.851 0.918
0.890 0.351 0.918
0.890 0.649 0.418
0.000 0.431 0.250
0.000 0.569 0.750
0.140 0.065 0.938
0.140 0.935 0.438
0.174 0.191 0.379
0.174 0.809 0.879
0.326 0.309 0.879
0.326 0.691 0.379
0.360 0.435 0.438
0.360 0.565 0.938
0.500 0.069 0.750
0.500 0.931 0.250
0.640 0.435 0.062
0.640 0.565 0.562
0.674 0.309 0.621
0.674 0.691 0.121
0.826 0.191 0.121
0.826 0.809 0.621
0.860 0.065 0.562
0.860 0.935 0.062

PBE AcTbPrDy, optimized geometry; E_form = 0.11 eV per atom; space-group type = F-43m, No. 216; relative energy among the computed polymorphs = 0.0597 eV/atom; M_tot = 0.00 μB per cell
1.0
0.000 4.163 4.163
4.163 0.000 4.163
4.163 4.163 0.000
Ac Tb Pr Dy
1 1 1 1
direct
0.000 0.000 0.000
0.250 0.250 0.250
0.500 0.500 0.500
0.750 0.750 0.750

PBE CrCu3H, optimized geometry; space-group type = Pm-3m, No. 221; relative energy among the computed polymorphs = 1.4229 eV/atom; M_tot = 5.17 μB per cell
1.0
4.685 0.000 0.000
0.000 4.685 0.000
0.000 0.000 4.685
Cr Cu H
1 3 1
direct
0.000 0.000 0.000
0.000 0.000 0.500
0.000 0.500 0.000
0.500 0.000 0.000
0.500 0.500 0.500

PBE Na3Te12P5, optimized geometry; space-group type = Ia-3d, No. 230; final energy = -3.422 eV per atom; M_tot = 0.00 μB per cell
1.0
-8.540 8.540 8.540
8.540 -8.540 8.540
8.540 8.540 -8.540
Na Te P
12 48 20
direct
0.125 0.250 0.375
0.125 0.375 0.750
0.250 0.375 0.125
0.250 0.875 0.625
0.375 0.125 0.250
0.375 0.750 0.125
0.625 0.250 0.875
0.625 0.875 0.750
0.750 0.125 0.375
0.750 0.625 0.875
0.875 0.625 0.250
0.875 0.750 0.625
0.027 0.205 0.120
0.027 0.322 0.907
0.085 0.705 0.678
0.085 0.880 0.407
0.093 0.620 0.415
0.093 0.973 0.678
0.120 0.027 0.205
0.120 0.593 0.915
0.178 0.205 0.585
0.178 0.473 0.593
0.205 0.120 0.027
0.205 0.585 0.178
0.295 0.322 0.915
0.295 0.473 0.380
0.322 0.907 0.027
0.322 0.915 0.295
0.380 0.295 0.473
0.380 0.585 0.907
0.407 0.085 0.880
0.407 0.822 0.527
0.415 0.093 0.620
0.415 0.822 0.795
0.473 0.380 0.295
0.473 0.593 0.178
0.527 0.407 0.822
0.527 0.620 0.705
0.585 0.178 0.205
0.585 0.907 0.380
0.593 0.178 0.473
0.593 0.915 0.120
0.620 0.415 0.093
0.620 0.705 0.527
0.678 0.085 0.705
0.678 0.093 0.973
0.705 0.527 0.620
0.705 0.678 0.085
0.795 0.415 0.822
0.795 0.880 0.973
0.822 0.527 0.407
0.822 0.795 0.415
0.880 0.407 0.085
0.880 0.973 0.795
0.907 0.027 0.322
0.907 0.380 0.585
0.915 0.120 0.593
0.915 0.295 0.322
0.973 0.678 0.093
0.973 0.795 0.880
0.000 0.000 0.000
0.000 0.000 0.500
0.000 0.500 0.000
0.000 0.500 0.500
0.125 0.750 0.875
0.125 0.875 0.250
0.250 0.125 0.875
0.250 0.625 0.375
0.375 0.250 0.625
0.375 0.625 0.750
0.500 0.000 0.000
0.500 0.000 0.500
0.500 0.500 0.000
0.500 0.500 0.500
0.625 0.375 0.250
0.625 0.750 0.375
0.750 0.375 0.625
0.750 0.875 0.125
0.875 0.125 0.750
0.875 0.250 0.125